The following is a DFT calculation (PBE) of crystalline BeZnP2 at its relaxed geometry.

```
BeZnP2
1.0
-3.209 -0.469 0.122
0.463 -2.732 1.691
-0.231 2.751 4.508
P Zn Be
2 1 1
direct
0.000 0.000 0.952
0.000 0.000 0.548
0.500 0.500 0.250
0.500 0.500 0.750
```

Results
E above lowest polymorph = 381 meV/atom
Formation enthalpy at 0 K = 350 meV/atom
Magnetization = 0.000 μB per formula unit
Density of states at the Fermi level = 0.23 states/eV per atom
Space-group type = P4/mmm, No. 123